(1)
Computed, not measured: crystalline Pa2SCl at its relaxed geometry at the PBE level of DFT.

Values from the calculation:
**Electronic total energy**: -27.7 eV per formula unit
**Density of states at the Fermi level**: 8.060 states/eV per cell
**Formation energy without anion corrections**: -0.685 eV per atom
**E above lowest polymorph**: 0.445 eV/atom
**Symmetry**: P4/mmm (123)
**Crystal system**: tetragonal

```
Pa2SCl
1.0
4.843 0.000 0.000
0.000 4.843 0.000
0.000 0.000 3.438
Pa S Cl
2 1 1
Cartesian
0.000 2.422 0.000 Pa
2.422 0.000 0.000 Pa
0.000 0.000 1.719 S
2.422 2.422 1.719 Cl
```

(2)
Computed, not measured: crystalline CuB2Rh at its relaxed geometry at the PBE level of DFT.

Values from the calculation:
**Electronic total energy**: -22.5 eV per formula unit
**Energy relative to the elements**: 226 kJ/mol of formula units
**Density of states at the Fermi level**: 3.209 states/eV per cell
**E above lowest polymorph**: 0.114 eV/atom
**Symmetry**: I-42d (122)
**Crystal system**: tetragonal

```
CuB2Rh
1.0
-2.353 2.353 4.660
2.353 -2.353 4.660
2.353 2.353 -4.660
Cu B Rh
2 4 2
Cartesian
0.000 0.000 0.000 Cu
0.000 2.353 2.330 Cu
1.177 -1.125 3.495 B
1.228 1.177 1.165 B
1.177 3.478 -1.165 B
1.125 1.177 5.825 B
2.353 0.000 2.330 Rh
0.000 0.000 4.660 Rh
```

(3)
Computed, not measured: crystalline AlPS2Cl at its relaxed geometry at the PBE level of DFT.

Values from the calculation:
**Electronic total energy**: -18.1 eV per formula unit
**Density of states at the Fermi level**: 4.350 states/eV per cell
**Formation energy without anion corrections**: 0.227 eV per atom
**E above lowest polymorph**: 0.033 eV/atom
**Symmetry**: P4/mmm (123)
**Crystal system**: tetragonal

```
AlPS2Cl
1.0
4.623 0.000 0.000
0.000 4.623 0.000
0.000 0.000 4.688
Al P S Cl
1 1 2 1
Cartesian
0.000 0.000 0.000 Al
2.311 2.311 2.344 P
0.000 2.311 2.344 S
2.311 0.000 2.344 S
2.311 2.311 0.000 Cl
```

(4)
Computed, not measured: crystalline Ac3Ta2P2N4 at its relaxed geometry at the PBE level of DFT.

Values from the calculation:
**Electronic total energy**: -94.0 eV per formula unit
**Density of states at the Fermi level**: 2.636 states/eV per cell
**Formation energy without anion corrections**: -1.256 eV per atom
**Symmetry**: I4/mmm (139)
**Crystal system**: tetragonal

```
Ac3Ta2P2N4
1.0
-2.115 2.115 11.459
2.115 -2.115 11.459
2.115 2.115 -11.459
Ac Ta P N
3 2 2 4
Cartesian
0.000 0.000 0.000 Ac
0.000 0.000 3.804 Ac
0.000 0.000 19.113 Ac
0.000 0.000 9.447 Ta
0.000 0.000 13.471 Ta
0.000 0.000 6.996 P
0.000 0.000 15.922 P
2.115 0.000 1.799 N
2.115 0.000 9.660 N
0.000 2.115 1.799 N
0.000 2.115 9.660 N
```

(5)
Computed, not measured: crystalline AuI2NO at its relaxed geometry at the PBE level of DFT.

Values from the calculation:
**Electronic total energy**: -13.1 eV per formula unit
**Density of states at the Fermi level**: 6.434 states/eV per cell
**Formation energy without anion corrections**: 1.305 eV per atom
**E above lowest polymorph**: 0.059 eV/atom
**Symmetry**: P4/mmm (123)
**Crystal system**: tetragonal

```
AuI2NO
1.0
5.904 0.000 0.000
0.000 5.904 0.000
0.000 0.000 3.915
Au I N O
1 2 1 1
Cartesian
0.000 0.000 0.000 Au
0.000 2.952 0.000 I
2.952 0.000 0.000 I
2.952 2.952 1.958 N
0.000 0.000 1.958 O
```

(6)
Computed, not measured: crystalline PtAu3F at its relaxed geometry at the PBE level of DFT.

Values from the calculation:
**Electronic total energy**: -14.0 eV per formula unit
**Density of states at the Fermi level**: 5.113 states/eV per cell
**Formation energy without anion corrections**: 0.740 eV per atom
**E above lowest polymorph**: 0.198 eV/atom
**Symmetry**: Pm-3m (221)
**Crystal system**: cubic

```
PtAu3F
1.0
5.095 0.000 0.000
0.000 5.095 0.000
0.000 0.000 5.095
Pt Au F
1 3 1
Cartesian
0.000 0.000 0.000 Pt
0.000 0.000 2.547 Au
0.000 2.547 0.000 Au
2.547 0.000 0.000 Au
2.547 2.547 2.547 F
```

(7)
Computed, not measured: crystalline PmBi2Pd9 at its relaxed geometry at the PBE level of DFT.

Values from the calculation:
**Electronic total energy**: -64.3 eV per formula unit
**Energy relative to the elements**: -490 kJ/mol of formula units
**Density of states at the Fermi level**: 5.001 states/eV per cell
**E above lowest polymorph**: 0.000 eV/atom
**Symmetry**: P4/mmm (123)
**Crystal system**: tetragonal

```
PmBi2Pd9
1.0
4.162 0.000 0.000
0.000 4.162 0.000
0.000 0.000 12.416
Pm Bi Pd
1 2 9
Cartesian
0.000 0.000 0.000 Pm
0.000 0.000 4.132 Bi
0.000 0.000 8.284 Bi
0.000 2.081 2.110 Pd
0.000 2.081 6.208 Pd
0.000 2.081 10.305 Pd
2.081 0.000 2.110 Pd
2.081 0.000 6.208 Pd
2.081 0.000 10.305 Pd
2.081 2.081 0.000 Pd
2.081 2.081 4.198 Pd
2.081 2.081 8.218 Pd
```

(8)
Computed, not measured: crystalline Li3Sm2Cd4 at its relaxed geometry at the PBE level of DFT.

Values from the calculation:
**Electronic total energy**: -21.0 eV per formula unit
**Energy relative to the elements**: -206 kJ/mol of formula units
**Density of states at the Fermi level**: 6.461 states/eV per cell
**E above lowest polymorph**: 0.000 eV/atom
**Symmetry**: P-1 (2)
**Crystal system**: triclinic

```
Li3Sm2Cd4
1.0
4.894 0.000 0.000
-2.424 5.110 0.000
-0.014 -2.496 8.148
Li Sm Cd
3 2 4
Cartesian
0.000 0.000 0.000 Li
0.008 2.628 3.830 Li
2.448 -0.014 4.318 Li
-0.002 0.619 6.374 Sm
2.458 1.995 1.773 Sm
0.004 -0.079 2.975 Cd
0.016 3.999 1.291 Cd
2.441 -1.386 6.856 Cd
2.452 2.692 5.172 Cd
```

(9)
Computed, not measured: crystalline Ac2SnRu2 at its relaxed geometry at the PBE level of DFT.

Values from the calculation:
**Electronic total energy**: -32.5 eV per formula unit
**Energy relative to the elements**: -166 kJ/mol of formula units
**Density of states at the Fermi level**: 6.693 states/eV per cell
**E above lowest polymorph**: 0.000 eV/atom
**Symmetry**: C2/c (15)
**Crystal system**: monoclinic

```
Ac2SnRu2
1.0
5.250 -3.046 0.000
5.250 3.046 0.000
-2.041 0.000 8.067
Ac Sn Ru
4 2 4
Cartesian
1.223 0.878 1.182 Ac
0.202 -0.878 5.216 Ac
8.257 0.878 2.851 Ac
7.237 -0.878 6.885 Ac
4.740 0.713 2.017 Sn
3.720 -0.713 6.050 Sn
2.697 0.926 3.974 Ru
6.783 0.926 0.060 Ru
1.677 -0.926 8.007 Ru
5.762 -0.926 4.093 Ru
```

(10)
Computed, not measured: crystalline La4Nd2DyEr at its relaxed geometry at the PBE level of DFT.

Values from the calculation:
**Electronic total energy**: -38.3 eV per formula unit
**Energy relative to the elements**: 12 kJ/mol of formula units
**Density of states at the Fermi level**: 11.913 states/eV per cell
**Symmetry**: P2/m (10)
**Crystal system**: monoclinic

```
La4Nd2DyEr
1.0
5.218 0.000 0.000
0.000 5.256 0.000
-0.011 0.000 10.213
La Nd Dy Er
4 2 1 1
Cartesian
-0.002 0.000 2.545 La
5.210 0.000 7.668 La
2.597 2.628 7.660 La
2.610 2.628 2.553 La
0.000 2.628 0.000 Nd
2.604 0.000 5.106 Nd
-0.005 2.628 5.106 Dy
2.609 0.000 0.000 Er
```

(11)
Computed, not measured: crystalline Y4AsC2 at its relaxed geometry at the PBE level of DFT.

Values from the calculation:
**Electronic total energy**: -53.6 eV per formula unit
**Energy relative to the elements**: -446 kJ/mol of formula units
**Density of states at the Fermi level**: 4.029 states/eV per cell
**Symmetry**: Cmcm (63)
**Crystal system**: orthorhombic

```
Y4AsC2
1.0
1.894 -6.074 0.000
1.894 6.074 0.000
0.000 0.000 12.486
Y As C
8 2 4
Cartesian
0.000 0.000 0.000 Y
0.000 0.000 6.243 Y
1.894 2.855 7.587 Y
1.894 2.855 11.143 Y
1.894 0.788 3.122 Y
1.894 -0.788 9.365 Y
1.894 -2.855 1.343 Y
1.894 -2.855 4.900 Y
1.894 4.729 3.122 As
1.894 -4.729 9.365 As
1.894 1.647 0.754 C
1.894 1.647 5.489 C
1.894 -1.647 6.997 C
1.894 -1.647 11.732 C
```

(12)
Computed, not measured: crystalline RbP2OsO at its relaxed geometry at the PBE level of DFT.

Values from the calculation:
**Electronic total energy**: -27.3 eV per formula unit
**Density of states at the Fermi level**: 5.329 states/eV per cell
**Formation energy without anion corrections**: 0.137 eV per atom
**E above lowest polymorph**: 0.000 eV/atom
**Symmetry**: P4/mmm (123)
**Crystal system**: tetragonal

```
RbP2OsO
1.0
4.998 0.000 0.000
0.000 4.998 0.000
0.000 0.000 3.829
Rb P Os O
1 2 1 1
Cartesian
0.000 0.000 0.000 Rb
0.000 2.499 1.914 P
2.499 0.000 1.914 P
2.499 2.499 1.914 Os
2.499 2.499 0.000 O
```

- What is the density of states at the Fermi level in the sixth record?
  5.113 states/eV per cell